# 1
Computed, not measured: a relaxed BaZn3Pt2 crystal at the PBE level of DFT.

The structure in CIF format:
```
data_BaZn3Pt2
_symmetry_space_group_name_H-M 'P 1'
_symmetry_Int_Tables_number 1
_symmetry_space_group_name_Hall 'P 1'
_cell_length_a 4.412
_cell_length_b 8.050
_cell_length_c 8.136
_cell_angle_alpha 113.10
_cell_angle_beta 90.00
_cell_angle_gamma 105.91
loop_
_atom_site_label
_atom_site_type_symbol
_atom_site_fract_x
_atom_site_fract_y
_atom_site_fract_z
Zn1 Zn 0.403 0.807 0.327
Zn2 Zn 0.597 0.193 0.673
Zn3 Zn 0.011 0.021 0.341
Zn4 Zn 0.684 0.367 0.449
Zn5 Zn 0.989 0.979 0.659
Zn6 Zn 0.316 0.633 0.551
Pt1 Pt 0.168 0.336 0.627
Pt2 Pt 0.483 0.965 0.824
Pt3 Pt 0.517 0.035 0.176
Pt4 Pt 0.832 0.664 0.373
Ba1 Ba 0.844 0.689 0.913
Ba2 Ba 0.156 0.311 0.087
```

Values from the calculation:
DFT total energy = -42.44 eV for the cell shown
Fermi-level density of states = 1.983 states/eV/f.u.
ΔH_f (0 K) = -566 meV per atom
Space group = C2/m, No. 12



# 2
Computed, not measured: a relaxed BaZn6Pt3 crystal at the PBE level of DFT.

The structure in CIF format:
```
data_BaZn6Pt3
_symmetry_space_group_name_H-M 'P 1'
_symmetry_Int_Tables_number 1
_symmetry_space_group_name_Hall 'P 1'
_cell_length_a 7.063
_cell_length_b 6.911
_cell_length_c 8.075
_cell_angle_alpha 110.52
_cell_angle_beta 90.00
_cell_angle_gamma 90.00
loop_
_atom_site_label
_atom_site_type_symbol
_atom_site_fract_x
_atom_site_fract_y
_atom_site_fract_z
Zn1 Zn 0.179 0.889 0.589
Zn2 Zn 0.494 0.029 0.173
Zn3 Zn 0.762 0.220 0.750
Zn4 Zn 0.679 0.611 0.911
Zn5 Zn 0.238 0.780 0.250
Zn6 Zn 0.738 0.720 0.250
Zn7 Zn 0.821 0.111 0.411
Zn8 Zn 0.994 0.471 0.327
Zn9 Zn 0.506 0.971 0.827
Zn10 Zn 0.006 0.529 0.673
Zn11 Zn 0.262 0.280 0.750
Zn12 Zn 0.321 0.389 0.089
Ba1 Ba 0.000 0.000 0.000
Ba2 Ba 0.500 0.500 0.500
Pt1 Pt 0.834 0.821 0.585
Pt2 Pt 0.000 0.500 0.000
Pt3 Pt 0.500 0.000 0.500
Pt4 Pt 0.666 0.321 0.085
Pt5 Pt 0.334 0.679 0.915
Pt6 Pt 0.166 0.179 0.415
```

Values from the calculation:
DFT total energy = -63.39 eV for the cell shown
Fermi-level density of states = 4.845 states/eV/f.u.
ΔH_f (0 K) = -400 meV per atom
Space group = P2_1/c, No. 14



# 3
Computed, not measured: a relaxed Ba3Zn8Pt3 crystal at the PBE level of DFT.

The structure in CIF format:
```
data_Ba3Zn8Pt3
_symmetry_space_group_name_H-M 'P 1'
_symmetry_Int_Tables_number 1
_symmetry_space_group_name_Hall 'P 1'
_cell_length_a 4.425
_cell_length_b 8.896
_cell_length_c 8.896
_cell_angle_alpha 80.24
_cell_angle_beta 75.96
_cell_angle_gamma 75.96
loop_
_atom_site_label
_atom_site_type_symbol
_atom_site_fract_x
_atom_site_fract_y
_atom_site_fract_z
Zn1 Zn 0.400 0.313 0.889
Zn2 Zn 0.600 0.111 0.687
Zn3 Zn 0.804 0.896 0.498
Zn4 Zn 0.400 0.889 0.313
Zn5 Zn 0.600 0.687 0.111
Zn6 Zn 0.196 0.502 0.104
Zn7 Zn 0.196 0.104 0.502
Zn8 Zn 0.804 0.498 0.896
Pt1 Pt 0.000 0.275 0.725
Pt2 Pt 0.000 0.725 0.275
Pt3 Pt 0.500 0.000 0.000
Ba1 Ba 0.834 0.169 0.169
Ba2 Ba 0.166 0.831 0.831
Ba3 Ba 0.500 0.500 0.500
```

Values from the calculation:
DFT total energy = -39.86 eV for the cell shown
Fermi-level density of states = 6.832 states/eV/f.u.
ΔH_f (0 K) = -413 meV per atom
Space group = C2/m, No. 12



# 4
Computed, not measured: a relaxed Ba3Zn8Pt crystal at the PBE level of DFT.

The structure in CIF format:
```
data_Ba3Zn8Pt
_symmetry_space_group_name_H-M 'P 1'
_symmetry_Int_Tables_number 1
_symmetry_space_group_name_Hall 'P 1'
_cell_length_a 5.386
_cell_length_b 5.386
_cell_length_c 12.017
_cell_angle_alpha 77.05
_cell_angle_beta 77.05
_cell_angle_gamma 60.00
loop_
_atom_site_label
_atom_site_type_symbol
_atom_site_fract_x
_atom_site_fract_y
_atom_site_fract_z
Ba1 Ba 0.508 0.508 0.475
Ba2 Ba 0.987 0.987 0.039
Ba3 Ba 0.383 0.383 0.852
Zn1 Zn 0.948 0.948 0.661
Zn2 Zn 0.657 0.657 0.029
Zn3 Zn 0.424 0.424 0.220
Zn4 Zn 0.196 0.196 0.412
Zn5 Zn 0.948 0.442 0.661
Zn6 Zn 0.442 0.948 0.661
Zn7 Zn 0.931 0.424 0.220
Zn8 Zn 0.424 0.931 0.220
Pt1 Pt 0.900 0.900 0.300
```

Values from the calculation:
DFT total energy = -23.81 eV for the cell shown
Fermi-level density of states = 4.546 states/eV/f.u.
ΔH_f (0 K) = -150 meV per atom
Space group = R3m, No. 160



Which of these has the highest ΔH_f (0 K)? Ba3Zn8Pt